Compound: Ba4SrSn5O15
Source: Alexandria via LeMat-Bulk
Functional: GGA-PBEsol
Structure: relaxed

a = 4.1208 Å, b = 4.1208 Å, c = 20.6008 Å
α = 90.00°, β = 90.00°, γ = 90.00°
With the nearest neighbours (Å) after each atom.
Fractional positions:
O (0.0000, 0.0000, 0.0000)  2 Sn 2.02
O (0.5000, 0.0000, 0.0961)  2 Sn 2.06
O (0.0000, 0.0000, 0.6006)  2 Sn 2.07
O (0.5000, 0.0000, 0.2986)  2 Sn 2.06
O (0.5000, 0.0000, 0.9039)  2 Sn 2.06
O (0.0000, 0.5000, 0.2986)  2 Sn 2.06
O (0.0000, 0.0000, 0.3994)  2 Sn 2.07
O (0.5000, 0.0000, 0.7014)  2 Sn 2.06
O (0.0000, 0.5000, 0.5000)  2 Sn 2.06
O (0.0000, 0.0000, 0.1984)  2 Sn 2.07
O (0.0000, 0.5000, 0.7014)  2 Sn 2.06
O (0.0000, 0.0000, 0.8016)  2 Sn 2.07
O (0.0000, 0.5000, 0.9039)  2 Sn 2.06
O (0.0000, 0.5000, 0.0961)  2 Sn 2.06
O (0.5000, 0.0000, 0.5000)  2 Sn 2.06
Sn (0.0000, 0.0000, 0.5000)  6 O 2.06-2.07
Sn (0.0000, 0.0000, 0.9019)  6 O 2.02-2.07
Sn (0.0000, 0.0000, 0.7010)  6 O 2.06-2.07
Sn (0.0000, 0.0000, 0.0981)  6 O 2.02-2.07
Sn (0.0000, 0.0000, 0.2990)  6 O 2.06-2.07
Ba (0.5000, 0.5000, 0.8020)  12 O 2.91-2.94
Ba (0.5000, 0.5000, 0.1980)  12 O 2.91-2.94
Ba (0.5000, 0.5000, 0.3994)  12 O 2.91-2.93
Ba (0.5000, 0.5000, 0.6006)  12 O 2.91-2.93
Sr (0.5000, 0.5000, 0.0000)  12 O 2.86-2.91

Calculated values
Symmetry: P4/mmm
Crystal system: tetragonal
Volume: 13.99 Å³/atom
DFT total energy: -6.656 eV per atom
Formation energy from raw total energies: -2.2367 eV/atom